Computed, not measured: a relaxed structure of Th5Sb3Ir at the PBE level of DFT.

a b c (Å): 6.555 9.508 9.508
angles (deg): 120.00 90.00 90.00
Sites, in units of the cell vectors:
Th: 0.000 0.333 0.667
Th: 0.500 0.667 0.333
Th: 0.000 0.667 0.333
Th: 0.500 0.333 0.667
Th: 0.750 0.749 0.000
Th: 0.750 0.251 0.251
Th: 0.750 0.000 0.749
Th: 0.250 0.251 0.000
Th: 0.250 0.749 0.749
Th: 0.250 0.000 0.251
Sb: 0.750 0.392 0.000
Sb: 0.750 0.608 0.608
Sb: 0.750 0.000 0.392
Sb: 0.250 0.608 0.000
Sb: 0.250 0.392 0.392
Sb: 0.250 0.000 0.608
Ir: 0.000 0.000 0.000
Ir: 0.500 0.000 0.000

Results
The raw formation energy comes out at -0.865 eV per atom.